[1]
{"formula": "Ba3Nb2VO9", "functional": "PBE+U", "state": "relaxed", "m_tot_mub_per_cell": 3.00, "sg": "P-3m1 (164)", "total_energy_ev_per_cell": -119.10, "density_g_cm3": 6.1, "cell": [[5.8673, 0.0000, 0.0000], [-2.9337, 5.0813, 0.0000], [0.0000, 0.0000, 7.2032]], "species": ["Ba", "Ba", "Ba", "Nb", "Nb", "V", "O", "O", "O", "O", "O", "O", "O", "O", "O"], "fractional_positions": [[0.0000, 0.0000, 0.0000], [0.3333, 0.6667, 0.6667], [0.6667, 0.3333, 0.3333], [0.3333, 0.6667, 0.1771], [0.6667, 0.3333, 0.8229], [0.0000, 0.0000, 0.5000], [0.0000, 0.5000, 0.0000], [0.1713, 0.3426, 0.3259], [0.1713, 0.8287, 0.3259], [0.3426, 0.1713, 0.6741], [0.5000, 0.0000, 0.0000], [0.5000, 0.5000, 0.0000], [0.6574, 0.8287, 0.3259], [0.8287, 0.1713, 0.6741], [0.8287, 0.6574, 0.6741]]}

[2]
{"formula": "BaNbV2O8", "functional": "PBE+U", "state": "relaxed", "m_tot_mub_per_cell": 1.01, "sg": "P-3 (147)", "total_energy_ev_per_cell": -94.33, "density_g_cm3": 3.7, "cell": [[5.6773, 0.0000, 0.0000], [-2.8386, 4.9167, 0.0000], [0.0000, 0.0000, 7.3282]], "species": ["Ba", "Nb", "V", "V", "O", "O", "O", "O", "O", "O", "O", "O"], "fractional_positions": [[0.0000, 0.0000, 0.0000], [0.0000, 0.0000, 0.5000], [0.3333, 0.6667, 0.7471], [0.6667, 0.3333, 0.2529], [0.1605, 0.8371, 0.6690], [0.1629, 0.3234, 0.6690], [0.3234, 0.1605, 0.3310], [0.3333, 0.6667, 0.9767], [0.6667, 0.3333, 0.0233], [0.6766, 0.8395, 0.6690], [0.8371, 0.6766, 0.3310], [0.8395, 0.1629, 0.3310]]}

[3]
{"formula": "BaNb2VO8", "functional": "PBE+U", "state": "relaxed", "m_tot_mub_per_cell": 1.00, "sg": "P-3 (147)", "total_energy_ev_per_cell": -98.06, "density_g_cm3": 4.9, "cell": [[5.3227, 0.0000, 0.0000], [-2.6613, 4.6096, 0.0000], [0.0000, 0.0000, 6.9285]], "species": ["Ba", "Nb", "Nb", "V", "O", "O", "O", "O", "O", "O", "O", "O"], "fractional_positions": [[0.0000, 0.0000, 0.0000], [0.3333, 0.6667, 0.3794], [0.6667, 0.3333, 0.6206], [0.0000, 0.0000, 0.5000], [0.0461, 0.3392, 0.6364], [0.2930, 0.9539, 0.6364], [0.3333, 0.6667, 0.1176], [0.3392, 0.2930, 0.3636], [0.6608, 0.7070, 0.6364], [0.6667, 0.3333, 0.8824], [0.7070, 0.0461, 0.3636], [0.9539, 0.6608, 0.3636]]}